## Pu6Pd6Au (GGA-PBE)

Data for crystalline Pu6Pd6Au at its relaxed geometry.

a = 5.718 Å, b = 7.679 Å, c = 7.679 Å
α = 83.69°, β = 68.14°, γ = 68.14°
Sites, in units of the cell vectors:
Pu 0.680 0.320 0.320
Pu 0.344 0.156 0.156
Pu 0.000 0.702 0.298
Pu 0.320 0.680 0.680
Pu 0.000 0.298 0.702
Pu 0.656 0.844 0.844
Pd 0.500 0.000 0.500
Pd 0.000 0.000 0.500
Pd 0.000 0.500 0.000
Pd 0.500 0.739 0.261
Pd 0.500 0.261 0.739
Pd 0.500 0.500 0.000
Au 0.000 0.000 0.000

Summary:
Energy of formation from the pure elements = -4.97 eV per formula unit
Density = 13.2 g/cm3